The following is a PBE-GGA calculation of Sc2Fe2Cu after structural relaxation, from the Alexandria database.

The structure belongs to space group P4/mbm (No. 127); the cell edges are 6.384, 6.384 and 3.859 Å and the angles 90.00°, 90.00° and 90.00°. The inequivalent atoms are Sc at (0.178, 0.322, 0.000), Fe at (0.120, 0.620, 0.500) and Cu at (0.000, 0.000, 0.500).

As for the total energy: -6.81 eV/atom. The density comes out at 5.6 g/cm³. As for the formation energy: -0.070 eV per atom.

The following is a PBE-GGA calculation of AcNd2Ge after structural relaxation, from the Alexandria database.

The structure belongs to space group P2_1/m (No. 11); the cell edges are 4.309, 9.570 and 6.696 Å and the angles 90.00°, 108.72° and 90.00°. The inequivalent atoms are Ac at (0.066, 0.250, 0.133), Nd at (0.353, 0.053, 0.707) and Ge at (0.239, 0.750, 0.476).

As for the total energy: -4.97 eV/atom. The density comes out at 7.5 g/cm³. As for the formation energy: -0.409 eV per atom.